A geometry-optimized Tb2PmDyHo5 structure, computed with PBE-GGA.

Properties
formation enthalpy at 0 K = 0.288 eV per atom
electronic total energy = -38.91 eV per formula unit
space-group type = No. 140
DOS(E_F) = 11.11 states/eV/f.u.
magnetization = 0.000 μB/f.u.

a b c (Å): 8.8420 8.8420 9.6979
angles (deg): 117.12 117.12 90.00
Element x y z (fractional)
Ho 0.6602 0.1602 0.7326
Ho 0.5724 0.6602 0.7326
Ho 0.9276 0.4276 0.2674
Ho 0.1602 0.0724 0.7326
Ho 0.4276 0.3398 0.2674
Ho 0.3398 0.8398 0.2674
Ho 0.0000 0.0000 0.0000
Ho 0.8398 0.9276 0.2674
Ho 0.0724 0.5724 0.7326
Ho 0.5000 0.5000 0.0000
Pm 0.2500 0.2500 0.5000
Pm 0.7500 0.7500 0.5000
Tb 0.8862 0.6138 0.0000
Tb 0.6138 0.1138 0.0000
Tb 0.3862 0.8862 0.0000
Tb 0.1138 0.3862 0.0000
Dy 0.2500 0.7500 0.5000
Dy 0.7500 0.2500 0.5000